A plane-wave DFT calculation with PBE was carried out for an optimized crystal structure of ZnCuGeIr.

Results
Mass density in g/cm³: 11.55
Uncorrected energy in Ha/atom: -0.175
Energy relative to the elements in eV per atom: -0.0398

a = 6.095 Å, b = 6.095 Å, c = 6.095 Å
α = 90.00°, β = 90.00°, γ = 90.00°
Space group F-43m (No. 216)
One atom of each set of equivalent atoms:
Zn (0.000, 0.000, 0.000) x4
Cu (0.250, 0.250, 0.750) x4
Ge (0.000, 0.000, 0.500) x4
Ir (0.250, 0.250, 0.250) x4